No. 1
PmVSb2 (GGA-PBE, relaxed); crystal system = cubic; ρ = 7.4 g cm⁻³; calculated total energy = -23.0 eV/cell; raw formation energy = -0.225 eV/atom
1.0
-2.659 -4.391 -0.682
2.391 -4.571 0.450
-1.016 -3.066 4.048
Sb V Pm
2 1 1
direct
0.250 0.250 0.250
0.750 0.750 0.750
0.500 0.500 0.500
0.000 0.000 0.000

No. 2
PmVSb2 (GGA-PBE, relaxed); crystal system = tetragonal; ρ = 7.3 g cm⁻³; calculated total energy = -23.0 eV/cell; raw formation energy = -0.220 eV/atom
1.0
4.066 0.000 0.000
0.000 4.943 0.000
0.000 0.000 4.943
V Sb Pm
1 2 1
direct
0.500 0.500 0.500
0.000 0.500 0.000
0.000 0.000 0.500
0.500 0.000 0.000

No. 3
PmVSb3 (GGA-PBE, relaxed); crystal system = orthorhombic; ρ = 7.5 g cm⁻³; calculated total energy = -115.7 eV/cell; raw formation energy = -0.540 eV/atom
1.0
5.999 0.000 0.000
0.000 6.329 0.000
0.000 0.000 13.077
Sb V Pm
12 4 4
direct
0.750 0.503 0.221
0.250 0.604 0.066
0.000 0.750 0.501
0.250 0.997 0.221
0.000 0.250 0.499
0.750 0.896 0.066
0.500 0.250 0.499
0.750 0.396 0.934
0.250 0.497 0.779
0.750 0.003 0.779
0.250 0.104 0.934
0.500 0.750 0.501
0.000 0.250 0.096
0.500 0.250 0.096
0.500 0.750 0.904
0.000 0.750 0.904
0.750 0.498 0.689
0.250 0.502 0.311
0.750 0.998 0.311
0.250 0.002 0.689

No. 4
PmVSb2 (GGA-PBE, relaxed); crystal system = tetragonal; ρ = 8.0 g cm⁻³; calculated total energy = -23.2 eV/cell; raw formation energy = -0.276 eV/atom
1.0
3.431 0.000 0.000
0.000 3.431 0.000
0.000 0.000 7.711
Pm Sb V
1 2 1
direct
0.500 0.500 0.500
0.000 0.000 0.205
0.000 0.000 0.795
0.500 0.500 0.000

No. 5
PmV2Sb (GGA-PBE, relaxed); crystal system = tetragonal; ρ = 7.6 g cm⁻³; calculated total energy = -26.4 eV/cell; raw formation energy = 0.179 eV/atom
1.0
4.032 0.000 0.000
0.000 4.464 0.000
0.000 0.000 4.464
V Pm Sb
2 1 1
direct
0.000 0.500 0.000
0.000 0.000 0.500
0.500 0.500 0.500
0.500 0.000 0.000

No. 6
PmSb2W (GGA-PBE, relaxed); crystal system = trigonal; ρ = 9.7 g cm⁻³; calculated total energy = -23.7 eV/cell; raw formation energy = 0.565 eV/atom
1.0
3.205 0.000 0.000
1.603 2.776 0.000
1.603 0.925 10.957
Sb W Pm
2 1 1
direct
0.916 0.916 0.252
0.084 0.084 0.748
0.000 0.000 0.000
0.500 0.500 0.500

No. 7
PmY3Sb4 (GGA-PBE, relaxed); crystal system = cubic; ρ = 6.1 g cm⁻³; calculated total energy = -50.0 eV/cell; raw formation energy = -1.171 eV/atom
1.0
6.243 0.000 0.000
0.000 6.243 0.000
0.000 0.000 6.243
Sb Y Pm
4 3 1
direct
0.500 0.000 0.000
0.000 0.000 0.500
0.500 0.500 0.500
0.000 0.500 0.000
0.500 0.500 0.000
0.500 0.000 0.500
0.000 0.500 0.500
0.000 0.000 0.000

No. 8
PmY4Sb5 (GGA-PBE, relaxed); crystal system = orthorhombic; ρ = 6.1 g cm⁻³; calculated total energy = -62.9 eV/cell; raw formation energy = -1.168 eV/atom
1.0
-2.093 -3.864 -0.385
0.592 0.297 -6.205
10.399 -3.509 3.962
Y Sb Pm
4 5 1
direct
0.201 0.201 0.402
0.799 0.799 0.598
0.600 0.600 0.200
0.400 0.400 0.800
0.800 0.300 0.601
0.602 0.102 0.205
0.000 0.500 0.000
0.200 0.700 0.399
0.398 0.898 0.795
0.000 0.000 0.000